Compound: CdCo2Ir
Source: the Alexandria database
Functional: PBE
Structure: relaxed

Cell lengths 5.146, 5.146, 5.146 Å; angles 146.77, 127.94, 63.18 degrees
Fractional positions:
Ir (0.750, 0.250, 0.500)
Co (0.988, 0.988, 0.000)
Co (0.512, 0.512, 0.000)
Cd (0.250, 0.750, 0.500)

Computed properties:
raw total energy = -22.489 eV/f.u.
symmetry = Immm (71)

***

Compound: Zr6Ag2O
Source: the Alexandria database
Functional: PBE
Structure: relaxed

Cell lengths 5.916, 6.131, 9.958 Å; angles 90.00, 92.19, 90.00 degrees
Fractional positions:
Zr (0.334, 0.806, 0.480)
Zr (0.171, 0.319, 0.474)
Zr (0.829, 0.681, 0.526)
Zr (0.329, 0.819, 0.026)
Zr (0.382, 0.501, 0.756)
Zr (0.618, 0.499, 0.244)
Zr (0.671, 0.181, 0.974)
Zr (0.834, 0.694, 0.980)
Zr (0.666, 0.194, 0.520)
Zr (0.118, 0.001, 0.744)
Zr (0.166, 0.306, 0.020)
Zr (0.882, 0.999, 0.256)
Ag (0.606, 0.912, 0.748)
Ag (0.106, 0.588, 0.248)
Ag (0.894, 0.412, 0.752)
Ag (0.394, 0.088, 0.252)
O (0.000, 0.000, 0.500)
O (0.500, 0.500, 0.000)

Computed properties:
raw total energy = -66.516 eV/f.u.
symmetry = P2_1/c (14)

***

Compound: GaCu2Sb2
Source: the Alexandria database
Functional: PBE
Structure: relaxed

Cell lengths 4.407, 4.407, 6.517 Å; angles 70.24, 70.24, 90.00 degrees
Fractional positions:
Sb (0.625, 0.625, 0.750)
Sb (0.375, 0.375, 0.250)
Ga (0.000, 0.000, 0.000)
Cu (0.250, 0.750, 0.500)
Cu (0.750, 0.250, 0.500)

Computed properties:
excess energy over the best structure of this formula in the dataset = 0.0 meV per atom
symmetry = I4/mmm (139)

***

Compound: U2Ru9W
Source: the Alexandria database
Functional: PBE
Structure: relaxed

Cell lengths 3.964, 3.964, 11.811 Å; angles 90.00, 90.00, 90.00 degrees
Fractional positions:
W (0.000, 0.000, 0.000)
Ru (0.000, 0.500, 0.500)
Ru (0.500, 0.500, 0.000)
Ru (0.000, 0.500, 0.156)
Ru (0.500, 0.500, 0.328)
Ru (0.500, 0.500, 0.672)
Ru (0.500, 0.000, 0.156)
Ru (0.500, 0.000, 0.500)
Ru (0.500, 0.000, 0.844)
Ru (0.000, 0.500, 0.844)
U (0.000, 0.000, 0.670)
U (0.000, 0.000, 0.330)

Computed properties:
raw total energy = -121.548 eV/f.u.
symmetry = P4/mmm (123)

***

Compound: CoNi
Source: the Alexandria database
Functional: PBE
Structure: relaxed

Cell lengths 8.261, 8.261, 8.261 Å; angles 17.29, 17.29, 17.29 degrees
Fractional positions:
Ni (0.750, 0.750, 0.750)
Ni (0.500, 0.500, 0.500)
Co (0.999, 0.999, 0.999)
Co (0.251, 0.251, 0.251)

Computed properties:
raw total energy = -12.918 eV/f.u.
symmetry = R-3m (166)

***

Compound: BeReTcRh2
Source: the Alexandria database
Functional: PBE
Structure: relaxed

Cell lengths 4.647, 4.647, 4.630 Å; angles 90.00, 90.00, 90.00 degrees
Fractional positions:
Tc (0.000, 0.000, 0.000)
Rh (0.500, 0.000, 0.000)
Rh (0.000, 0.500, 0.000)
Be (0.500, 0.500, 0.500)
Re (0.000, 0.000, 0.500)

Computed properties:
excess energy over the best structure of this formula in the dataset = 1418.5 meV per atom
symmetry = P4/mmm (123)

***

Compound: Nb2AlZn
Source: the Alexandria database
Functional: PBE
Structure: relaxed

Cell lengths 7.201, 7.201, 5.786 Å; angles 51.51, 51.51, 90.00 degrees
Fractional positions:
Zn (0.000, 0.000, 0.000)
Zn (0.750, 0.250, 0.500)
Al (0.500, 0.500, 0.000)
Al (0.250, 0.750, 0.500)
Nb (0.121, 0.625, 0.250)
Nb (0.375, 0.371, 0.750)
Nb (0.629, 0.125, 0.250)
Nb (0.875, 0.879, 0.750)

Computed properties:
raw total energy = -24.185 eV/f.u.
symmetry = I-42d (122)

***

Compound: PmHfTh
Source: the Alexandria database
Functional: PBE
Structure: relaxed

Cell lengths 3.391, 3.391, 8.013 Å; angles 102.21, 102.21, 90.00 degrees
Fractional positions:
Th (0.322, 0.322, 0.644)
Pm (0.009, 0.009, 0.019)
Hf (0.669, 0.669, 0.338)

Computed properties:
excess energy over the best structure of this formula in the dataset = 0.0 meV per atom
symmetry = I4mm (107)

***

Compound: RbMg4Pb8
Source: the Alexandria database
Functional: PBE
Structure: relaxed

Cell lengths 6.339, 8.464, 8.464 Å; angles 81.94, 68.01, 68.01 degrees
Fractional positions:
Mg (0.000, 0.500, 0.000)
Mg (0.500, 0.000, 0.500)
Mg (0.500, 0.500, 0.000)
Mg (0.000, 0.000, 0.500)
Rb (0.000, 0.000, 0.000)
Pb (0.280, 0.220, 0.220)
Pb (0.652, 0.348, 0.348)
Pb (0.500, 0.220, 0.780)
Pb (0.500, 0.780, 0.220)
Pb (0.720, 0.780, 0.780)
Pb (0.000, 0.348, 0.652)
Pb (0.000, 0.652, 0.348)
Pb (0.348, 0.652, 0.652)

Computed properties:
excess energy over the best structure of this formula in the dataset = 0.0 meV per atom
symmetry = I4/mmm (139)

***

Compound: V8Mo2Ru
Source: the Alexandria database
Functional: PBE
Structure: relaxed

Cell lengths 4.697, 7.285, 7.285 Å; angles 38.72, 90.01, 90.01 degrees
Fractional positions:
Mo (0.500, 0.700, 0.700)
Mo (0.500, 0.300, 0.300)
V (0.500, 0.905, 0.905)
V (0.000, 0.591, 0.086)
V (0.000, 0.086, 0.591)
V (0.255, 0.500, 0.500)
V (0.000, 0.914, 0.409)
V (0.000, 0.409, 0.914)
V (0.500, 0.095, 0.095)
V (0.745, 0.500, 0.500)
Ru (0.000, 0.000, 0.000)

Computed properties:
raw total energy = -104.022 eV/f.u.
symmetry = Cmmm (65)

***

Compound: Ba2Al3Zn2
Source: the Alexandria database
Functional: PBE
Structure: relaxed

Cell lengths 4.383, 6.763, 7.164 Å; angles 99.56, 90.00, 108.91 degrees
Fractional positions:
Al (0.563, 0.126, 0.372)
Al (0.437, 0.874, 0.628)
Al (0.500, 0.000, 0.000)
Zn (0.914, 0.829, 0.813)
Zn (0.086, 0.171, 0.187)
Ba (0.176, 0.353, 0.732)
Ba (0.824, 0.647, 0.268)

Computed properties:
raw total energy = -18.904 eV/f.u.
symmetry = C2/m (12)

***

Compound: Re2Ir
Source: the Alexandria database
Functional: PBE
Structure: relaxed

Cell lengths 12.436, 12.436, 12.436 Å; angles 167.36, 167.36, 17.92 degrees
Fractional positions:
Ir (0.750, 0.250, 0.500)
Ir (0.000, 0.000, 0.000)
Re (0.171, 0.671, 0.500)
Re (0.329, 0.829, 0.500)
Re (0.421, 0.421, 0.000)
Re (0.579, 0.579, 0.000)

Computed properties:
excess energy over the best structure of this formula in the dataset = 435.8 meV per atom
symmetry = I4_1/amd (141)

***

Compound: InHg4Pb4
Source: the Alexandria database
Functional: PBE
Structure: relaxed

Cell lengths 4.323, 7.963, 7.963 Å; angles 85.77, 74.25, 74.25 degrees
Fractional positions:
Hg (0.839, 0.161, 0.661)
Hg (0.161, 0.839, 0.339)
Hg (0.500, 0.839, 0.661)
Hg (0.500, 0.161, 0.339)
Pb (0.164, 0.171, 0.001)
Pb (0.165, 0.499, 0.671)
Pb (0.836, 0.829, 0.999)
Pb (0.835, 0.501, 0.329)
In (0.500, 0.500, 0.000)

Computed properties:
raw total energy = -18.398 eV/f.u.
symmetry = I4/m (87)

***

Compound: CaEr3Hg2
Source: the Alexandria database
Functional: PBE
Structure: relaxed

Cell lengths 5.089, 7.121, 9.209 Å; angles 90.00, 90.00, 90.00 degrees
Fractional positions:
Ca (0.500, 0.519, 0.558)
Ca (0.500, 0.019, 0.442)
Hg (0.000, 0.758, 0.349)
Hg (0.500, 0.741, 0.854)
Hg (0.500, 0.241, 0.146)
Hg (0.000, 0.258, 0.651)
Er (0.500, 0.161, 0.826)
Er (0.000, 0.983, 0.058)
Er (0.000, 0.483, 0.942)
Er (0.000, 0.838, 0.676)
Er (0.000, 0.338, 0.324)
Er (0.500, 0.661, 0.174)

Computed properties:
raw total energy = -18.416 eV/f.u.
symmetry = Pmc2_1 (26)

***

Compound: LaPuCd17
Source: the Alexandria database
Functional: PBE
Structure: relaxed

Cell lengths 7.708, 7.708, 7.708 Å; angles 82.12, 82.12, 82.12 degrees
Fractional positions:
Cd (0.299, 0.698, 0.002)
Cd (0.515, 0.986, 0.986)
Cd (0.698, 0.002, 0.299)
Cd (0.104, 0.104, 0.104)
Cd (0.698, 0.299, 0.002)
Cd (0.002, 0.299, 0.698)
Cd (0.002, 0.698, 0.299)
Cd (0.629, 0.189, 0.629)
Cd (0.350, 0.350, 0.864)
Cd (0.189, 0.629, 0.629)
Cd (0.904, 0.904, 0.904)
Cd (0.864, 0.350, 0.350)
Cd (0.986, 0.515, 0.986)
Cd (0.986, 0.986, 0.515)
Cd (0.299, 0.002, 0.698)
Cd (0.629, 0.629, 0.189)
Cd (0.350, 0.864, 0.350)
Pu (0.329, 0.329, 0.329)
La (0.667, 0.667, 0.667)

Computed properties:
raw total energy = -36.915 eV/f.u.
symmetry = R3m (160)

***

Compound: LaPm2HoTe5
Source: the Alexandria database
Functional: PBE
Structure: relaxed

Cell lengths 5.527, 5.527, 11.890 Å; angles 90.00, 90.00, 90.00 degrees
Fractional positions:
La (0.000, 0.000, 0.000)
Te (0.500, 0.000, 0.500)
Te (0.000, 0.000, 0.748)
Te (0.000, 0.000, 0.252)
Te (0.000, 0.500, 0.500)
Te (0.500, 0.500, 0.000)
Pm (0.500, 0.500, 0.348)
Pm (0.500, 0.500, 0.652)
Ho (0.000, 0.000, 0.500)

Computed properties:
raw total energy = -42.602 eV/f.u.
symmetry = P4/mmm (123)

***

Compound: Tl4Cd3Hg4
Source: the Alexandria database
Functional: PBE
Structure: relaxed

Cell lengths 3.458, 8.929, 11.630 Å; angles 116.38, 107.26, 89.78 degrees
Fractional positions:
Tl (0.770, 0.788, 0.271)
Tl (0.335, 0.478, 0.338)
Tl (0.665, 0.522, 0.662)
Tl (0.230, 0.212, 0.729)
Hg (0.937, 0.193, 0.428)
Hg (0.557, 0.253, 0.059)
Hg (0.063, 0.807, 0.572)
Hg (0.443, 0.747, 0.941)
Cd (0.835, 0.963, 0.838)
Cd (0.000, 0.500, 0.000)
Cd (0.165, 0.037, 0.162)

Computed properties:
raw total energy = -13.213 eV/f.u.
symmetry = P-1 (2)

***

Compound: Pm4Bi3Sb
Source: the Alexandria database
Functional: PBE
Structure: relaxed

Cell lengths 4.557, 7.892, 7.892 Å; angles 109.45, 90.00, 90.00 degrees
Fractional positions:
Bi (0.000, 0.000, 0.500)
Bi (0.000, 0.500, 0.000)
Bi (0.500, 0.500, 0.500)
Pm (0.500, 0.248, 0.752)
Pm (0.000, 0.246, 0.246)
Pm (0.500, 0.752, 0.248)
Pm (0.000, 0.754, 0.754)
Sb (0.500, 0.000, 0.000)

Computed properties:
excess energy over the best structure of this formula in the dataset = 4.2 meV per atom
symmetry = Cmmm (65)

***

Compound: Ac2NdHg
Source: the Alexandria database
Functional: PBE
Structure: relaxed

Cell lengths 3.972, 3.972, 9.395 Å; angles 90.00, 90.00, 90.00 degrees
Fractional positions:
Ac (0.000, 0.000, 0.779)
Ac (0.000, 0.000, 0.221)
Nd (0.500, 0.500, 0.500)
Hg (0.500, 0.500, 0.000)

Computed properties:
excess energy over the best structure of this formula in the dataset = 0.0 meV per atom
symmetry = P4/mmm (123)

***

Compound: P3HPb2O10
Source: the Alexandria database
Functional: PBE
Structure: relaxed

Cell lengths 8.086, 5.424, 7.722 Å; angles 118.81, 121.50, 69.52 degrees
Fractional positions:
O (0.962, 0.171, 0.135)
O (0.069, 0.231, 0.650)
O (0.526, 0.383, 0.320)
O (0.294, 0.556, 0.017)
O (0.656, 0.523, 0.153)
O (0.951, 0.704, 0.279)
O (0.989, 0.775, 0.776)
O (0.499, 0.063, 0.926)
O (0.763, 0.424, 0.863)
O (0.270, 0.505, 0.658)
P (0.840, 0.454, 0.096)
P (0.496, 0.353, 0.099)
P (0.146, 0.520, 0.760)
Pb (0.778, 0.065, 0.533)
Pb (0.297, 0.798, 0.537)
H (0.969, 0.005, 0.999)

Computed properties:
raw total energy = -107.056 eV/f.u.
symmetry = P1 (1)

***

no.,magnetic moment (μB/f.u.)
1,4.13
2,0.00
3,0.00
4,0.00
5,2.26
6,0.00
7,0.00
8,0.00
9,0.00
10,0.00
11,0.00
12,0.00
13,0.00
14,0.00
15,5.87
16,0.41
17,0.00
18,0.00
19,0.00
20,0.00